Record 1
Material: La4CN2
Method: DFT, PBE-GGA
State: relaxed

Summary:
energy relative to the elements, uncorrected: -27.2 kJ per mole of atoms
SG: No. 139

Cell: 5.0130 5.0130 7.4453 Å, 70.33 70.33 90.00°
Last column: nearest neighbours and their distance in Å.
Atoms (fractional coordinates):
C  0.0000  0.0000  0.0000  4 La 2.51
N  0.3881  0.3881  0.2237  1 La 2.08
N  0.6119  0.6119  0.7763  1 La 2.08
La  0.2292  0.2292  0.5417  1 N 2.08
La  0.7708  0.7708  0.4583  1 N 2.08
La  0.0000  0.5000  0.0000  2 C 2.51
La  0.5000  0.0000  0.0000  2 C 2.51

=====

Record 2
Material: Li5Mg2Pb2
Method: DFT, PBE-GGA
State: relaxed

Summary:
formation energy from the elements: -19.8 kJ/mol of atoms
SG: No. 38

Cell: 4.8811 8.4700 9.9827 Å, 115.10 104.15 90.00°
Last column: nearest neighbours and their distance in Å.
Atoms (fractional coordinates):
Li  0.4167  0.6184  0.8335  3 Mg 2.82-2.83, 1 Li 2.90, 1 Pb 2.90
Li  0.5833  0.7850  0.1665  3 Mg 2.82-2.83, 1 Li 2.90, 1 Pb 2.90
Li  0.9167  0.1184  0.8335  3 Mg 2.82-2.83, 1 Li 2.90, 1 Pb 2.90
Li  0.0833  0.2850  0.1665  3 Mg 2.82-2.83, 1 Li 2.90, 1 Pb 2.90
Li  0.1700  0.0419  0.3401  2 Li 2.78-3.11, 1 Pb 2.96
Li  0.8300  0.7018  0.6599  2 Li 2.78-3.11, 1 Pb 2.96
Li  0.6700  0.5419  0.3401  2 Li 2.78-3.11, 1 Pb 2.96
Li  0.3300  0.2018  0.6599  2 Li 2.78-3.11, 1 Pb 2.96
Li  0.2499  0.7933  0.5000  2 Mg 2.79, 3 Pb 2.81-2.82, 2 Li 3.11
Li  0.7501  0.2933  0.5000  2 Mg 2.79, 3 Pb 2.81-2.82, 2 Li 3.11
Mg  0.0899  0.6239  0.1799  4 Li 2.79-2.83
Mg  0.9101  0.4440  0.8201  4 Li 2.79-2.83
Mg  0.5899  0.1239  0.1799  4 Li 2.79-2.83
Mg  0.4101  0.9440  0.8201  4 Li 2.79-2.83
Pb  0.0000  0.8664  0.0000  8 Li 2.96-3.19, 6 Mg 3.22-3.23
Pb  0.5000  0.3664  0.0000  8 Li 2.96-3.19, 6 Mg 3.22-3.23
Pb  0.2501  0.4611  0.5000  9 Li 2.81-3.12
Pb  0.7499  0.9611  0.5000  9 Li 2.81-3.12